Entry 1:
# K3Hg

K3Hg after structural relaxation (PBE-GGA, Alexandria via LeMat-Bulk).

a b c (Å): 6.5376 6.5376 6.5376
angles (deg): 60.00 60.00 60.00
Fractional positions:
K 0.2500 0.2500 0.2500
K 0.5000 0.5000 0.5000
K 0.7500 0.7500 0.7500
Hg 0.0000 0.0000 0.0000

Total moment: 0.0 μB/f.u.
Crystal system: cubic
Electronic total energy: -3.87 eV for the cell shown

---

Entry 2:
# BaC3

BaC3 after structural relaxation (PBE-GGA, Alexandria via LeMat-Bulk).

a b c (Å): 5.8386 5.8386 5.8386
angles (deg): 90.00 90.00 90.00
Last column: magnetic moment on the atom in μB.
Fractional positions:
C 0.5000 0.0000 0.0000  1.14
C 0.0000 0.5000 0.0000  1.14
C 0.0000 0.0000 0.5000  1.14
Ba 0.0000 0.0000 0.0000  0.30

Total moment: 8.0 μB/f.u.
Crystal system: cubic
Electronic total energy: -12.72 eV for the cell shown

---

Entry 3:
# KTaRu2

KTaRu2 after structural relaxation (PBE-GGA, Alexandria via LeMat-Bulk).

a b c (Å): 3.0757 5.0747 4.4977
angles (deg): 90.00 90.00 90.00
Last column: magnetic moment on the atom in μB.
Fractional positions:
K 0.0000 0.5000 0.5000  0.00
Ru 0.0000 0.0000 0.0000  0.04
Ru 0.5000 0.5000 0.0000  0.46
Ta 0.5000 0.0000 0.5000  -0.07

Total moment: 0.4 μB/f.u.
Crystal system: orthorhombic
Electronic total energy: -26.15 eV for the cell shown

---

Entry 4:
# Li9CaMg2

Li9CaMg2 after structural relaxation (PBE-GGA, Alexandria via LeMat-Bulk).

a b c (Å): 3.1592 10.0680 10.0680
angles (deg): 120.00 90.00 90.00
Fractional positions:
Li 0.5000 0.8190 0.1810
Li 0.0000 0.0000 0.5000
Li 0.0000 0.5000 0.5000
Li 0.5000 0.8190 0.6380
Li 0.5000 0.1810 0.8190
Li 0.5000 0.6380 0.8190
Li 0.5000 0.1810 0.3620
Li 0.0000 0.5000 0.0000
Li 0.5000 0.3620 0.1810
Ca 0.0000 0.0000 0.0000
Mg 0.0000 0.6667 0.3333
Mg 0.0000 0.3333 0.6667

Total moment: 0.0 μB/f.u.
Crystal system: hexagonal
Electronic total energy: -21.92 eV for the cell shown

---

Entry 5:
# Pu2U2Te7

Pu2U2Te7 after structural relaxation (PBE-GGA, Alexandria via LeMat-Bulk).

a b c (Å): 4.2587 9.6066 9.6066
angles (deg): 60.85 77.19 77.19
Last column: magnetic moment on the atom in μB.
Fractional positions:
Pu 0.7396 0.8580 0.6627  -5.24
Pu 0.2604 0.3372 0.1420  -5.24
U 0.0000 0.7698 0.2302  2.16
U 0.5000 0.3287 0.6713  2.31
Te 0.8221 0.0694 0.2865  0.08
Te 0.8632 0.4174 0.8562  0.01
Te 0.5000 0.0088 0.9912  -0.03
Te 0.6087 0.4949 0.2877  -0.01
Te 0.3913 0.7123 0.5051  -0.01
Te 0.1779 0.7135 0.9306  0.08
Te 0.1368 0.1438 0.5826  0.01

ΔE_f (raw): -0.77 eV per atom
Total moment: 5.8 μB/f.u.
Crystal system: orthorhombic

---

Entry 6:
# AgSb4Te7

AgSb4Te7 after structural relaxation (PBE-GGA, Alexandria via LeMat-Bulk).

a b c (Å): 4.3049 4.3049 23.9518
angles (deg): 90.00 90.00 120.00
Fractional positions:
Ag 0.0000 0.0000 0.5000
Sb 0.6667 0.3333 0.0836
Sb 0.3333 0.6667 0.9164
Sb 0.6667 0.3333 0.3516
Sb 0.3333 0.6667 0.6484
Te 0.0000 0.0000 0.0000
Te 0.6667 0.3333 0.5682
Te 0.3333 0.6667 0.4318
Te 0.6667 0.3333 0.8442
Te 0.3333 0.6667 0.1558
Te 0.0000 0.0000 0.2792
Te 0.0000 0.0000 0.7208

ΔE_f (raw): -0.11 eV per atom
Total moment: 0.0 μB/f.u.
Crystal system: trigonal

---

Entry 7:
# SbCl

SbCl after structural relaxation (PBE-GGA, Alexandria via LeMat-Bulk).

a b c (Å): 8.3965 8.3965 4.4067
angles (deg): 90.00 90.00 149.69
Fractional positions:
Cl 0.6019 0.3981 0.7500
Cl 0.3981 0.6019 0.2500
Sb 0.7497 0.2503 0.7500
Sb 0.2503 0.7497 0.2500

ΔE_f (raw): -0.46 eV per atom
Total moment: 0.0 μB/f.u.
Crystal system: orthorhombic

---

Entry 8:
# HoPuSb2

HoPuSb2 after structural relaxation (PBE-GGA, Alexandria via LeMat-Bulk).

a b c (Å): 6.2131 6.2131 7.6141
angles (deg): 65.89 65.89 90.00
Last column: magnetic moment on the atom in μB.
Fractional positions:
Ho 0.6252 0.8748 0.7500  -0.05
Ho 0.3748 0.1252 0.2500  -0.05
Pu 0.1252 0.3748 0.7500  5.15
Pu 0.8748 0.6252 0.2500  5.15
Sb 0.1251 0.8748 0.7501  -0.08
Sb 0.8749 0.1252 0.2499  -0.08
Sb 0.6252 0.3749 0.7499  -0.08
Sb 0.3748 0.6251 0.2501  -0.08

ΔE_f (raw): -0.85 eV per atom
Total moment: 5.0 μB/f.u.
Crystal system: tetragonal

---

It is found that the D(E_F) values, taken in the order of the records, are 0.707, 2.015, 1.121, 0.591, 3.198, 0.329, 0.223, 3.321 states/eV/atom.